Record 1
First-principles (PBE) data for a relaxed Pr2NdSm6Er3 crystal, as listed in the Alexandria database.

Cell and atoms, written as POSCAR:
```
Pr2NdSm6Er3
1.0
6.272 -0.001 0.006
-3.135 5.432 0.006
-1.057 -1.831 11.784
Sm Pr Er Nd
6 2 3 1
Direct
0.752 0.752 0.256
0.582 0.915 0.745
0.418 0.085 0.255
0.085 0.418 0.255
0.248 0.248 0.744
0.915 0.582 0.745
0.667 0.333 0.000
0.333 0.667 0.000
0.167 0.833 0.500
0.833 0.167 0.500
0.500 0.500 0.500
0.000 0.000 0.000
```

Computed properties:
Calculated volume ... 33.461 A^3/atom
E_form ... 19.1 meV per atom

***

Record 2
First-principles (PBE) data for a relaxed Nd3TlHg crystal, as listed in the Alexandria database.

Cell and atoms, written as POSCAR:
```
Nd3TlHg
1.0
5.307 0.000 1.213
0.000 5.438 0.000
0.353 0.000 10.673
Hg Nd Tl
2 6 2
Direct
0.673 0.750 0.303
0.976 0.250 0.697
0.574 0.250 0.501
0.384 0.250 0.881
0.764 0.250 0.121
0.265 0.750 0.119
0.075 0.750 0.499
0.885 0.750 0.879
0.478 0.750 0.693
0.171 0.250 0.307
```

Computed properties:
Offset from the most stable computed form ... 0 meV per atom
Calculated volume ... 30.567 A^3/atom
E_form ... -316.4 meV per atom

***

Record 3
First-principles (PBE) data for a relaxed MgMnP2 crystal, as listed in the Alexandria database.

Cell and atoms, written as POSCAR:
```
MgMnP2
1.0
-1.075 -0.882 -4.454
4.303 0.513 -1.732
-2.012 -2.883 3.068
P Mn Mg
2 1 1
Direct
0.026 0.026 0.000
0.474 0.474 0.000
0.250 0.750 0.500
0.750 0.250 0.500
```

Computed properties:
Calculated volume ... 15.728 A^3/atom
E_form ... -43.2 meV per atom

***

Record 4
First-principles (PBE) data for a relaxed Al2Au3 crystal, as listed in the Alexandria database.

Cell and atoms, written as POSCAR:
```
Al2Au3
1.0
3.562 0.000 0.000
0.000 8.882 0.000
0.000 0.000 11.358
Al Au
8 12
Direct
0.250 0.153 0.458
0.750 0.653 0.042
0.250 0.071 0.812
0.750 0.929 0.188
0.750 0.571 0.688
0.750 0.847 0.542
0.250 0.429 0.312
0.250 0.347 0.958
0.250 0.614 0.869
0.250 0.886 0.369
0.250 0.349 0.724
0.750 0.114 0.631
0.750 0.386 0.131
0.750 0.372 0.484
0.250 0.151 0.224
0.750 0.849 0.776
0.750 0.651 0.276
0.250 0.628 0.516
0.250 0.872 0.016
0.750 0.128 0.984
```

Computed properties:
Calculated volume ... 17.970 A^3/atom
E_form ... -332.6 meV per atom

***

Record 5
First-principles (PBE) data for a relaxed Li8As2P crystal, as listed in the Alexandria database.

Cell and atoms, written as POSCAR:
```
Li8As2P
1.0
4.028 0.047 -1.203
-0.807 5.725 -2.479
0.036 -0.227 7.449
Li P As
8 1 2
Direct
0.740 0.951 0.117
0.533 0.743 0.701
0.328 0.869 0.292
0.975 0.026 0.587
0.944 0.486 0.526
0.637 0.205 0.909
0.297 0.348 0.231
0.138 0.530 0.909
0.136 0.942 0.909
0.797 0.611 0.232
0.475 0.289 0.587
```

Computed properties:
Offset from the most stable computed form ... 15 meV per atom
Calculated volume ... 15.439 A^3/atom
E_form ... -634.0 meV per atom

***

Record 6
First-principles (PBE) data for a relaxed TlCu crystal, as listed in the Alexandria database.

Cell and atoms, written as POSCAR:
```
TlCu
1.0
3.455 0.000 0.000
-1.727 2.992 0.000
0.000 0.000 4.005
Tl Cu
1 1
Direct
0.667 0.333 0.500
0.000 0.000 0.000
```

Computed properties:
Calculated volume ... 20.696 A^3/atom
E_form ... 379.0 meV per atom

***

Record 7
First-principles (PBE) data for a relaxed Ce2Co3TcB12 crystal, as listed in the Alexandria database.

Cell and atoms, written as POSCAR:
```
Ce2Co3TcB12
1.0
8.083 1.597 1.133
5.380 6.240 1.133
5.380 3.132 5.514
Co B Ce Tc
3 12 2 1
Direct
0.500 0.000 0.000
0.000 0.500 0.000
0.000 0.000 0.500
0.658 0.977 0.658
0.342 0.342 0.023
0.044 0.676 0.044
0.956 0.956 0.324
0.044 0.044 0.676
0.956 0.324 0.956
0.324 0.956 0.956
0.977 0.658 0.658
0.658 0.658 0.977
0.676 0.044 0.044
0.023 0.342 0.342
0.342 0.023 0.342
0.358 0.358 0.358
0.642 0.642 0.642
0.000 0.000 0.000
```

Computed properties:
Calculated volume ... 10.714 A^3/atom
E_form ... 40.1 meV per atom

***

Record 8
First-principles (PBE) data for a relaxed RbAgPb2 crystal, as listed in the Alexandria database.

Cell and atoms, written as POSCAR:
```
RbAgPb2
1.0
-1.822 5.047 2.434
-2.083 -2.987 4.632
6.933 2.007 8.160
Ag Pb Rb
2 4 2
Direct
0.750 0.250 0.500
0.000 0.000 0.000
0.923 0.625 0.250
0.827 0.125 0.250
0.875 0.077 0.750
0.375 0.173 0.750
0.250 0.750 0.500
0.500 0.500 0.000
```

Computed properties:
Calculated volume ... 43.681 A^3/atom
E_form ... 148.7 meV per atom

***

Record 9
First-principles (PBE) data for a relaxed Pu5Bi5Au2 crystal, as listed in the Alexandria database.

Cell and atoms, written as POSCAR:
```
Pu5Bi5Au2
1.0
-2.979 3.280 -1.393
-2.606 -2.621 -8.341
-7.992 -3.645 0.767
Au Bi Pu
2 5 5
Direct
0.846 0.511 0.798
0.154 0.489 0.202
0.254 0.725 0.768
0.746 0.275 0.232
0.000 0.000 0.000
0.937 0.757 0.369
0.063 0.243 0.631
0.686 0.986 0.642
0.314 0.014 0.358
0.613 0.712 0.061
0.387 0.288 0.939
0.500 0.500 0.500
```

Computed properties:
Calculated volume ... 28.144 A^3/atom
E_form ... -283.0 meV per atom

***

Record 10
First-principles (PBE) data for a relaxed CeGa2NiPd2 crystal, as listed in the Alexandria database.

Cell and atoms, written as POSCAR:
```
CeGa2NiPd2
1.0
4.549 0.000 0.000
0.000 4.549 0.000
0.000 0.000 5.426
Ce Pd Ga Ni
1 2 2 1
Direct
0.000 0.000 0.500
0.500 0.500 0.257
0.500 0.500 0.743
0.500 0.000 0.000
0.000 0.500 0.000
0.000 0.000 0.000
```

Computed properties:
Calculated volume ... 18.712 A^3/atom
E_form ... -479.5 meV per atom

***

Record 11
First-principles (PBE) data for a relaxed Mg2HS2 crystal, as listed in the Alexandria database.

Cell and atoms, written as POSCAR:
```
Mg2HS2
1.0
-1.039 -4.091 5.621
6.951 -0.740 0.746
0.075 2.688 1.970
Mg H S
4 2 4
Direct
0.845 0.655 0.000
0.345 0.845 0.000
0.155 0.345 0.000
0.655 0.155 0.000
0.500 0.500 0.000
0.000 0.000 0.000
0.344 0.156 0.500
0.656 0.844 0.500
0.156 0.656 0.500
0.844 0.344 0.500
```

Computed properties:
Offset from the most stable computed form ... 159 meV per atom
Calculated volume ... 16.475 A^3/atom

***

| no. | total magnetic moment (μB per formula unit) | D(E_F) (states/eV/cell) |
| --- | --- | --- |
| 1 | 0.0 | 16.5 |
| 2 | 1.1 | 12.3 |
| 3 | 2.7 | 2.0 |
| 4 | 0.0 | 2.8 |
| 5 | 0.0 | 3.7 |
| 6 | 0.0 | 0.7 |
| 7 | 2.3 | 16.7 |
| 8 | 0.0 | 4.3 |
| 9 | 6.1 | 60.0 |
| 10 | 0.7 | 7.4 |
| 11 | 1.0 | 1.6 |